(1)
Computed, not measured: a geometry-optimized InAu structure at the PBE-GGA level of DFT. Values from VASP.

```
&SYSTEM
  ibrav = 0, nat = 12, ntyp = 2
/
ATOMIC_SPECIES
In 114.82 In.upf
Au 196.97 Au.upf
CELL_PARAMETERS angstrom
4.604 0.000 0.000
0.000 10.495 0.000
0.000 0.000 5.964
ATOMIC_POSITIONS angstrom
In 2.302 8.762 3.974
Au 0.000 5.247 1.209
Au 0.000 2.448 2.373
In 2.302 6.980 0.992
Au 0.000 0.000 4.191
Au 0.000 7.695 5.355
Au 0.000 2.800 5.355
In 2.302 1.733 3.974
In 0.000 5.247 4.000
In 0.000 0.000 1.018
Au 0.000 8.047 2.373
In 2.302 3.514 0.992
```



(2)
! PBE-GGA TaCd2Co, optimized geometry; values from VASP
&SYSTEM
  ibrav = 0, nat = 4, ntyp = 3
/
ATOMIC_SPECIES
Co 58.93 Co.upf
Cd 112.41 Cd.upf
Ta 180.95 Ta.upf
CELL_PARAMETERS angstrom
-1.649 0.069 2.483
2.353 -0.912 1.588
2.123 7.563 1.199
ATOMIC_POSITIONS angstrom
Co 1.115 3.969 0.629
Cd 2.097 7.468 1.183
Cd 0.963 1.756 2.380
Ta 1.838 4.871 2.874
! - energy above the lowest structure with this stoichiometry (meV/atom) = 0



For the records above, the corresponding total moment values read 0.00; 0.00 μB/f.u..
For the records above, the corresponding formation energy from the elements values read -0.1137; 0.0723 eV per atom.